1.
Computed, not measured: a relaxed structure of TiZn9Cu3 at the PBE-GGA level of DFT.

a = 4.883 Å, b = 6.651 Å, c = 6.618 Å
α = 82.18°, β = 68.35°, γ = 68.35°
Element x y z (fractional)
Ti (0.000, 0.000, 0.000)
Zn (0.706, 0.792, 0.788)
Zn (0.294, 0.208, 0.212)
Zn (0.506, 0.208, 0.788)
Zn (0.494, 0.792, 0.212)
Zn (0.652, 0.339, 0.348)
Zn (0.348, 0.661, 0.652)
Zn (0.000, 0.661, 0.348)
Zn (0.000, 0.339, 0.652)
Zn (0.000, 0.500, 0.000)
Cu (0.500, 0.500, 0.000)
Cu (0.000, 0.000, 0.500)
Cu (0.500, 0.000, 0.500)

Results
ΔE_f (meV per atom): -81.6
DOS at the Fermi energy (states/eV/cell): 5.4

2.
Computed, not measured: a relaxed structure of TiZn8Cu4 at the PBE-GGA level of DFT.

a = 4.901 Å, b = 6.584 Å, c = 6.584 Å
α = 82.04°, β = 68.15°, γ = 68.15°
Element x y z (fractional)
Ti (0.000, 0.000, 0.000)
Zn (0.000, 0.341, 0.659)
Zn (0.000, 0.659, 0.341)
Zn (0.341, 0.659, 0.659)
Zn (0.659, 0.341, 0.341)
Zn (0.500, 0.789, 0.211)
Zn (0.500, 0.211, 0.789)
Zn (0.289, 0.211, 0.211)
Zn (0.711, 0.789, 0.789)
Cu (0.000, 0.000, 0.500)
Cu (0.500, 0.000, 0.500)
Cu (0.000, 0.500, 0.000)
Cu (0.500, 0.500, 0.000)

Results
ΔE_f (meV per atom): -93.3
DOS at the Fermi energy (states/eV/cell): 3.6

3.
Computed, not measured: a relaxed structure of TiZnCu3 at the PBE-GGA level of DFT.

a = 4.227 Å, b = 4.329 Å, c = 8.486 Å
α = 104.78°, β = 104.42°, γ = 90.00°
Element x y z (fractional)
Ti (0.139, 0.388, 0.776)
Ti (0.861, 0.612, 0.224)
Zn (0.371, 0.121, 0.242)
Zn (0.629, 0.879, 0.758)
Cu (0.784, 0.034, 0.068)
Cu (0.216, 0.966, 0.932)
Cu (0.458, 0.708, 0.417)
Cu (0.542, 0.292, 0.583)
Cu (0.041, 0.792, 0.584)
Cu (0.959, 0.208, 0.416)

Results
ΔE_f (meV per atom): 88.1
DOS at the Fermi energy (states/eV/cell): 6.7
Offset from the most stable computed form (eV per formula unit): 1.011

4.
Computed, not measured: a relaxed structure of Ti2ZnCu3 at the PBE-GGA level of DFT.

a = 5.011 Å, b = 5.011 Å, c = 6.689 Å
α = 83.42°, β = 83.42°, γ = 96.24°
Element x y z (fractional)
Ti (0.130, 0.622, 0.625)
Ti (0.622, 0.130, 0.125)
Ti (0.378, 0.870, 0.875)
Ti (0.870, 0.378, 0.375)
Zn (0.918, 0.082, 0.750)
Zn (0.082, 0.918, 0.250)
Cu (0.416, 0.584, 0.250)
Cu (0.584, 0.416, 0.750)
Cu (0.832, 0.665, 0.000)
Cu (0.335, 0.168, 0.500)
Cu (0.665, 0.832, 0.500)
Cu (0.168, 0.335, 0.000)

Results
ΔE_f (meV per atom): -147.0
DOS at the Fermi energy (states/eV/cell): 5.3

5.
Computed, not measured: a relaxed structure of TiZn2Cu2 at the PBE-GGA level of DFT.

a = 3.564 Å, b = 3.564 Å, c = 6.341 Å
α = 73.68°, β = 73.68°, γ = 90.00°
Element x y z (fractional)
Zn (0.750, 0.250, 0.500)
Zn (0.250, 0.750, 0.500)
Cu (0.401, 0.401, 0.198)
Cu (0.599, 0.599, 0.802)
Ti (0.000, 0.000, 0.000)

Results
ΔE_f (meV per atom): 65.1
DOS at the Fermi energy (states/eV/cell): 4.6
Offset from the most stable computed form (eV per formula unit): 0.785

6.
Computed, not measured: a relaxed structure of TiZn6Cu5 at the PBE-GGA level of DFT.

a = 4.011 Å, b = 6.965 Å, c = 6.965 Å
α = 107.15°, β = 106.73°, γ = 106.73°
Element x y z (fractional)
Zn (0.270, 0.103, 0.438)
Zn (0.730, 0.562, 0.897)
Zn (0.774, 0.274, 0.274)
Zn (0.226, 0.726, 0.726)
Zn (0.270, 0.438, 0.103)
Zn (0.730, 0.897, 0.562)
Cu (0.500, 0.158, 0.842)
Cu (0.000, 0.312, 0.688)
Cu (0.500, 0.500, 0.500)
Cu (0.000, 0.688, 0.312)
Cu (0.500, 0.842, 0.158)
Ti (0.000, 0.000, 0.000)

Results
ΔE_f (meV per atom): -78.0
DOS at the Fermi energy (states/eV/cell): 4.0

7.
Computed, not measured: a relaxed structure of Ti2Zn12Cu at the PBE-GGA level of DFT.

a = 5.395 Å, b = 5.395 Å, c = 16.551 Å
α = 90.00°, β = 90.00°, γ = 90.00°
Each line ends with the local moment (μB).
Element x y z (fractional)
Ti (0.500, 0.000, 0.233)  0.11
Ti (0.000, 0.500, 0.233)  0.11
Ti (0.000, 0.500, 0.767)  0.11
Ti (0.500, 0.000, 0.767)  0.11
Zn (0.500, 0.500, 0.807)  0.01
Zn (0.000, 0.000, 0.807)  0.01
Zn (0.750, 0.750, 0.907)  0.00
Zn (0.250, 0.750, 0.907)  0.00
Zn (0.000, 0.000, 0.333)  0.00
Zn (0.250, 0.750, 0.093)  0.00
Zn (0.829, 0.329, 0.570)  0.00
Zn (0.500, 0.500, 0.333)  0.00
Zn (0.250, 0.250, 0.907)  0.00
Zn (0.750, 0.750, 0.093)  0.00
Zn (0.329, 0.171, 0.570)  0.00
Zn (0.671, 0.171, 0.430)  0.00
Zn (0.000, 0.000, 0.667)  0.00
Zn (0.171, 0.329, 0.430)  0.00
Zn (0.250, 0.250, 0.093)  0.00
Zn (0.829, 0.671, 0.430)  0.00
Zn (0.671, 0.829, 0.570)  0.00
Zn (0.000, 0.000, 0.193)  0.01
Zn (0.171, 0.671, 0.570)  0.00
Zn (0.500, 0.500, 0.667)  0.00
Zn (0.750, 0.250, 0.907)  0.00
Zn (0.500, 0.500, 0.193)  0.01
Zn (0.329, 0.829, 0.430)  0.00
Zn (0.750, 0.250, 0.093)  0.00
Cu (0.500, 0.000, 0.000)  0.00
Cu (0.000, 0.500, 0.000)  0.00

Results
ΔE_f (meV per atom): 65.0
DOS at the Fermi energy (states/eV/cell): 20.1

8.
Computed, not measured: a relaxed structure of TiZn4Cu at the PBE-GGA level of DFT.

a = 4.917 Å, b = 6.791 Å, c = 6.791 Å
α = 122.09°, β = 100.49°, γ = 100.49°
Each line ends with the local moment (μB).
Element x y z (fractional)
Ti (0.750, 0.430, 0.570)  0.90
Ti (0.250, 0.570, 0.430)  0.90
Zn (0.866, 0.839, 0.579)  0.01
Zn (0.954, 0.701, 0.078)  0.02
Zn (0.634, 0.421, 0.161)  0.01
Zn (0.366, 0.579, 0.839)  0.01
Zn (0.134, 0.161, 0.421)  0.01
Zn (0.454, 0.078, 0.701)  0.02
Zn (0.546, 0.922, 0.299)  0.02
Zn (0.046, 0.299, 0.922)  0.02
Cu (0.250, 0.004, 0.996)  0.02
Cu (0.750, 0.996, 0.004)  0.02

Results
ΔE_f (meV per atom): -43.3
DOS at the Fermi energy (states/eV/cell): 6.1
Offset from the most stable computed form (eV per formula unit): 0.000

9.
Computed, not measured: a relaxed structure of Ti2Zn2Cu at the PBE-GGA level of DFT.

a = 3.356 Å, b = 3.356 Å, c = 7.892 Å
α = 77.72°, β = 77.72°, γ = 90.00°
Each line ends with the local moment (μB).
Element x y z (fractional)
Zn (0.750, 0.250, 0.500)  0.03
Zn (0.250, 0.750, 0.500)  0.03
Cu (0.000, 0.000, 0.000)  0.06
Ti (0.408, 0.408, 0.184)  0.92
Ti (0.592, 0.592, 0.816)  0.92

Results
ΔE_f (meV per atom): 319.9
DOS at the Fermi energy (states/eV/cell): 5.2
Offset from the most stable computed form (eV per formula unit): 1.858

10.
Computed, not measured: a relaxed structure of TiZn3Cu2 at the PBE-GGA level of DFT.

a = 2.924 Å, b = 2.924 Å, c = 9.777 Å
α = 90.00°, β = 90.00°, γ = 90.00°
Each line ends with the local moment (μB).
Element x y z (fractional)
Ti (0.500, 0.500, 0.500)  0.76
Zn (0.000, 0.000, 0.000)  0.01
Zn (0.000, 0.000, 0.691)  0.01
Zn (0.000, 0.000, 0.309)  0.01
Cu (0.500, 0.500, 0.845)  0.02
Cu (0.500, 0.500, 0.155)  0.02

Results
ΔE_f (meV per atom): -122.0
DOS at the Fermi energy (states/eV/cell): 3.2

11.
Computed, not measured: a relaxed structure of TiZnCu3 at the PBE-GGA level of DFT.

a = 4.663 Å, b = 4.663 Å, c = 4.663 Å
α = 90.00°, β = 90.00°, γ = 90.00°
Each line ends with the local moment (μB).
Element x y z (fractional)
Zn (0.500, 0.500, 0.500)  -0.01
Cu (0.000, 0.500, 0.000)  0.00
Cu (0.000, 0.000, 0.500)  0.00
Cu (0.500, 0.000, 0.000)  0.03
Ti (0.000, 0.000, 0.000)  0.68

Results
ΔE_f (meV per atom): 1192.2
DOS at the Fermi energy (states/eV/cell): 3.4
Offset from the most stable computed form (eV per formula unit): 6.531

12.
Computed, not measured: a relaxed structure of TiZnCu4 at the PBE-GGA level of DFT.

a = 4.541 Å, b = 6.518 Å, c = 6.802 Å
α = 124.04°, β = 99.10°, γ = 92.04°
Element x y z (fractional)
Ti (0.155, 0.256, 0.421)
Ti (0.845, 0.744, 0.579)
Zn (0.235, 0.482, 0.904)
Zn (0.765, 0.518, 0.096)
Cu (0.709, 0.388, 0.652)
Cu (0.564, 0.925, 0.298)
Cu (0.938, 0.831, 0.021)
Cu (0.392, 0.775, 0.809)
Cu (0.291, 0.612, 0.348)
Cu (0.436, 0.075, 0.702)
Cu (0.062, 0.169, 0.979)
Cu (0.608, 0.225, 0.191)

Results
ΔE_f (meV per atom): 15.1
DOS at the Fermi energy (states/eV/cell): 6.3